1.
DFT (PBE-GGA) results for a relaxed structure of La4PrNd3.

abc: 10.555 7.400 7.398
angles: 90.00 90.00 90.00
Element x y z (fractional)
La 0.000 0.000 0.000
La 0.000 0.500 0.500
La 0.250 0.250 0.250
La 0.250 0.750 0.750
La 0.500 0.000 0.500
La 0.500 0.500 0.000
La 0.750 0.250 0.250
La 0.750 0.750 0.750
Pr 0.000 0.000 0.500
Pr 0.500 0.000 0.000
Nd 0.000 0.500 0.000
Nd 0.250 0.251 0.750
Nd 0.250 0.749 0.250
Nd 0.500 0.500 0.500
Nd 0.750 0.251 0.750
Nd 0.750 0.749 0.250

As for the electronic total energy: -4.84 eV/atom. The formation energy comes out at 12 meV per atom. The calculation puts the energy above the most stable polymorph in this dataset at 0.0 kJ/mol of atoms.

=====

2.
DFT (PBE-GGA) results for a relaxed structure of HoHf2H8.

abc: 5.800 5.800 5.800
angles: 148.25 121.58 68.04
Element x y z (fractional)
Ho 0.000 0.000 0.000
Hf 0.329 0.329 0.000
Hf 0.671 0.671 0.000
H 0.099 0.834 0.265
H 0.177 0.677 0.500
H 0.282 0.500 0.782
H 0.431 0.166 0.265
H 0.569 0.834 0.735
H 0.718 0.500 0.218
H 0.823 0.323 0.500
H 0.901 0.166 0.735

As for the electronic total energy: -5.05 eV/atom.

=====

3.
DFT (PBE-GGA) results for a relaxed structure of Pa3BiSb2.

abc: 7.639 7.639 7.589
angles: 99.66 99.66 120.18
Element x y z (fractional)
Pa 0.000 0.500 0.000
Pa 0.147 0.321 0.492
Pa 0.321 0.147 0.992
Pa 0.500 0.000 0.500
Pa 0.679 0.853 0.008
Pa 0.853 0.679 0.508
Bi 0.422 0.578 0.250
Bi 0.578 0.422 0.750
Sb 0.085 0.915 0.250
Sb 0.257 0.743 0.750
Sb 0.743 0.257 0.250
Sb 0.915 0.085 0.750

For the formation energy without anion corrections, the calculation gives -0.30 eV/atom. As for the electronic total energy: -7.07 eV/atom.

=====

4.
DFT (PBE-GGA) results for a relaxed structure of Er4GaS3.

abc: 5.566 5.566 5.566
angles: 90.00 90.00 90.00
Element x y z (fractional)
Er 0.000 0.000 0.000
Er 0.000 0.500 0.500
Er 0.500 0.000 0.500
Er 0.500 0.500 0.000
Ga 0.500 0.500 0.500
S 0.000 0.000 0.500
S 0.000 0.500 0.000
S 0.500 0.000 0.000

For the formation energy without anion corrections, the calculation gives -1.64 eV/atom. As for the electronic total energy: -5.85 eV/atom.

=====

5.
DFT (PBE-GGA) results for a relaxed structure of RbNaSi2Se.

abc: 5.339 5.339 5.384
angles: 90.00 90.00 90.00
Element x y z (fractional)
Rb 0.000 0.000 0.000
Na 0.500 0.500 0.000
Si 0.000 0.500 0.500
Si 0.500 0.000 0.500
Se 0.500 0.500 0.500

For the formation energy without anion corrections, the calculation gives 0.41 eV/atom. As for the electronic total energy: -2.91 eV/atom.

=====

6.
DFT (PBE-GGA) results for a relaxed structure of Dy3TePtBr.

abc: 8.742 4.040 9.584
angles: 90.00 104.11 90.00
Element x y z (fractional)
Dy 0.060 0.250 0.352
Dy 0.167 0.250 0.976
Dy 0.389 0.750 0.609
Dy 0.611 0.250 0.391
Dy 0.833 0.750 0.024
Dy 0.940 0.750 0.648
Te 0.309 0.750 0.262
Te 0.691 0.250 0.738
Pt 0.167 0.250 0.651
Pt 0.833 0.750 0.349
Br 0.372 0.750 0.900
Br 0.628 0.250 0.100

For the formation energy without anion corrections, the calculation gives -1.09 eV/atom. As for the electronic total energy: -5.20 eV/atom.

=====

7.
DFT (PBE-GGA) results for a relaxed structure of Li3BeB.

abc: 4.135 4.135 4.135
angles: 90.00 90.00 90.00
Element x y z (fractional)
Li 0.000 0.000 0.500
Li 0.000 0.500 0.000
Li 0.500 0.000 0.000
Be 0.500 0.500 0.500
B 0.000 0.000 0.000

As for the electronic total energy: -2.43 eV/atom. The formation energy comes out at 801 meV per atom. The calculation puts the energy above the most stable polymorph in this dataset at 0.0 kJ/mol of atoms.

=====

8.
DFT (PBE-GGA) results for a relaxed structure of Ni3GePt.

abc: 8.811 8.811 8.811
angles: 150.78 150.78 41.80
Element x y z (fractional)
Ni 0.121 0.373 0.748
Ni 0.163 0.163 0.000
Ni 0.625 0.373 0.252
Ni 0.627 0.375 0.748
Ni 0.627 0.879 0.252
Ni 0.837 0.837 0.000
Ge 0.500 0.500 0.000
Ge 0.750 0.250 0.500
Pt 0.088 0.588 0.500
Pt 0.412 0.912 0.500

As for the electronic total energy: -5.36 eV/atom. The formation energy comes out at 237 meV per atom. The calculation puts the energy above the most stable polymorph in this dataset at 39.5 kJ/mol of atoms.

=====

9.
DFT (PBE-GGA) results for a relaxed structure of LiZrTlF6.

abc: 5.556 5.556 12.079
angles: 90.00 90.00 120.00
Element x y z (fractional)
Li 0.333 0.667 0.250
Li 0.667 0.333 0.750
Zr 0.333 0.667 0.750
Zr 0.667 0.333 0.250
Tl 0.000 0.000 0.000
Tl 0.000 0.000 0.500
F 0.006 0.389 0.655
F 0.006 0.617 0.845
F 0.383 0.389 0.845
F 0.383 0.994 0.655
F 0.389 0.006 0.155
F 0.389 0.383 0.345
F 0.611 0.617 0.655
F 0.611 0.994 0.845
F 0.617 0.006 0.345
F 0.617 0.611 0.155
F 0.994 0.383 0.155
F 0.994 0.611 0.345

For the formation energy without anion corrections, the calculation gives -3.15 eV/atom. As for the electronic total energy: -5.82 eV/atom.

=====

10.
DFT (PBE-GGA) results for a relaxed structure of Ac2Cu3Ag2.

abc: 10.893 4.556 6.972
angles: 90.00 106.33 90.00
Element x y z (fractional)
Ac 0.170 0.000 0.217
Ac 0.330 0.500 0.783
Ac 0.670 0.500 0.217
Ac 0.830 0.000 0.783
Cu 0.000 0.500 0.500
Cu 0.053 0.500 0.868
Cu 0.447 0.000 0.132
Cu 0.500 0.000 0.500
Cu 0.553 0.000 0.868
Cu 0.947 0.500 0.132
Ag 0.105 0.000 0.688
Ag 0.395 0.500 0.312
Ag 0.605 0.500 0.688
Ag 0.895 0.000 0.312

As for the electronic total energy: -3.91 eV/atom. The formation energy comes out at -163 meV per atom.

=====

11.
DFT (PBE-GGA) results for a relaxed structure of InGaCuO4.

abc: 5.294 5.294 6.664
angles: 90.00 90.00 112.78
Element x y z (fractional)
In 0.000 0.000 0.000
In 0.000 0.000 0.500
Ga 0.359 0.641 0.750
Ga 0.641 0.359 0.250
Cu 0.313 0.687 0.250
Cu 0.687 0.313 0.750
O 0.248 0.752 0.517
O 0.248 0.752 0.983
O 0.249 0.254 0.750
O 0.254 0.249 0.250
O 0.746 0.751 0.750
O 0.751 0.746 0.250
O 0.752 0.248 0.017
O 0.752 0.248 0.483

For the formation energy without anion corrections, the calculation gives -1.26 eV/atom. As for the electronic total energy: -5.50 eV/atom. The calculation puts the energy above the most stable polymorph in this dataset at 6.1 kJ/mol of atoms.

=====

12.
DFT (PBE-GGA) results for a relaxed structure of Pa2CoAs.

abc: 5.852 3.734 8.013
angles: 90.00 111.02 90.00
Element x y z (fractional)
Pa 0.173 0.250 0.393
Pa 0.260 0.750 0.049
Pa 0.740 0.250 0.951
Pa 0.827 0.750 0.607
Co 0.157 0.250 0.787
Co 0.843 0.750 0.213
As 0.378 0.750 0.699
As 0.622 0.250 0.301

As for the electronic total energy: -8.34 eV/atom. The formation energy comes out at -649 meV per atom. The calculation puts the energy above the most stable polymorph in this dataset at 0.0 kJ/mol of atoms.

=====

13.
DFT (PBE-GGA) results for a relaxed structure of GdMgSi2.

abc: 6.866 6.866 6.866
angles: 90.00 90.00 90.00
Element x y z (fractional)
Gd 0.000 0.000 0.000
Gd 0.000 0.500 0.500
Gd 0.500 0.000 0.500
Gd 0.500 0.500 0.000
Mg 0.000 0.000 0.500
Mg 0.000 0.500 0.000
Mg 0.500 0.000 0.000
Mg 0.500 0.500 0.500
Si 0.250 0.250 0.250
Si 0.250 0.250 0.750
Si 0.250 0.750 0.250
Si 0.250 0.750 0.750
Si 0.750 0.250 0.250
Si 0.750 0.250 0.750
Si 0.750 0.750 0.250
Si 0.750 0.750 0.750

For the formation energy without anion corrections, the calculation gives -0.18 eV/atom. As for the electronic total energy: -6.81 eV/atom. The calculation puts the energy above the most stable polymorph in this dataset at 14.7 kJ/mol of atoms.

=====

14.
DFT (PBE-GGA) results for a relaxed structure of Hg2SbRh.

abc: 3.920 3.920 5.517
angles: 90.00 90.00 90.00
Element x y z (fractional)
Hg 0.000 0.000 0.241
Hg 0.000 0.000 0.759
Sb 0.500 0.500 0.500
Rh 0.500 0.500 0.000

For the formation energy without anion corrections, the calculation gives 0.23 eV/atom. As for the electronic total energy: -2.79 eV/atom.

=====

15.
DFT (PBE-GGA) results for a relaxed structure of DyMg2In.

abc: 4.509 4.509 4.815
angles: 90.00 90.00 90.00
Element x y z (fractional)
Dy 0.000 0.000 0.000
Mg 0.000 0.500 0.500
Mg 0.500 0.000 0.500
In 0.500 0.500 0.000

As for the electronic total energy: -2.91 eV/atom. The formation energy comes out at -278 meV per atom. The calculation puts the energy above the most stable polymorph in this dataset at 0.0 kJ/mol of atoms.

=====

16.
DFT (PBE-GGA) results for a relaxed structure of EuMg2Al.

abc: 3.293 3.293 9.182
angles: 90.00 90.00 90.00
Element x y z (fractional)
Eu 0.000 0.000 0.000
Mg 0.500 0.500 0.288
Mg 0.500 0.500 0.712
Al 0.000 0.000 0.500

As for the electronic total energy: -4.30 eV/atom. The formation energy comes out at 5 meV per atom.

=====

17.
DFT (PBE-GGA) results for a relaxed structure of Tb7Y4Pu.

abc: 9.618 9.618 8.058
angles: 104.88 104.88 32.53
Element x y z (fractional)
Tb 0.000 0.000 0.000
Tb 0.176 0.176 0.909
Tb 0.347 0.347 0.802
Tb 0.448 0.448 0.299
Tb 0.552 0.552 0.701
Tb 0.653 0.653 0.198
Tb 0.824 0.824 0.091
Y 0.091 0.091 0.439
Y 0.272 0.272 0.362
Y 0.728 0.728 0.638
Y 0.909 0.909 0.561
Pu 0.500 0.500 0.000

As for the electronic total energy: -5.84 eV/atom. The formation energy comes out at 207 meV per atom.

=====

18.
DFT (PBE-GGA) results for a relaxed structure of CrNi6W.

abc: 3.513 7.314 7.249
angles: 90.00 90.00 90.00
Element x y z (fractional)
Cr 0.000 0.000 0.000
Cr 0.000 0.500 0.500
Ni 0.000 0.000 0.482
Ni 0.000 0.250 0.235
Ni 0.000 0.250 0.735
Ni 0.000 0.500 0.982
Ni 0.000 0.750 0.235
Ni 0.000 0.750 0.735
Ni 0.500 0.000 0.235
Ni 0.500 0.246 0.986
Ni 0.500 0.254 0.486
Ni 0.500 0.500 0.735
Ni 0.500 0.746 0.486
Ni 0.500 0.754 0.986
W 0.500 0.000 0.728
W 0.500 0.500 0.228

As for the electronic total energy: -7.15 eV/atom. The formation energy comes out at 11 meV per atom. The calculation puts the energy above the most stable polymorph in this dataset at 1.4 kJ/mol of atoms.

=====

19.
DFT (PBE-GGA) results for a relaxed structure of BaHSe2O8.

abc: 6.168 6.168 7.178
angles: 115.80 115.80 46.17
Element x y z (fractional)
Ba 0.000 0.000 0.000
H 0.500 0.500 0.500
Se 0.186 0.186 0.653
Se 0.814 0.814 0.347
O 0.165 0.634 0.306
O 0.173 0.173 0.416
O 0.343 0.343 0.849
O 0.366 0.835 0.694
O 0.634 0.165 0.306
O 0.657 0.657 0.151
O 0.827 0.827 0.584
O 0.835 0.366 0.694

As for the electronic total energy: -5.13 eV/atom.

=====

20.
DFT (PBE-GGA) results for a relaxed structure of Pu2GeIr.

abc: 2.940 2.940 30.730
angles: 90.00 90.00 120.00
Element x y z (fractional)
Pu 0.000 0.000 0.248
Pu 0.000 0.000 0.752
Pu 0.333 0.667 0.419
Pu 0.333 0.667 0.915
Pu 0.667 0.333 0.085
Pu 0.667 0.333 0.581
Ge 0.000 0.000 0.000
Ge 0.333 0.667 0.667
Ge 0.667 0.333 0.333
Ir 0.000 0.000 0.500
Ir 0.333 0.667 0.167
Ir 0.667 0.333 0.833

As for the electronic total energy: -10.58 eV/atom. The formation energy comes out at -43 meV per atom.